[1]
Material: BaCo2Ru
Method: DFT, PBE
State: optimized geometry

Cell and atoms, written as CIF:
```
data_BaCo2Ru
_chemical_formula_sum 'Ba1 Co2 Ru1'
_space_group_name_H-M_alt 'P 4/m m m'
_space_group_IT_number 123
_space_group_name_Hall '-P 4 2'
_cell_length_a 4.7208
_cell_length_b 4.7208
_cell_length_c 3.2382
_cell_angle_alpha 90.00
_cell_angle_beta 90.00
_cell_angle_gamma 90.00
loop_
_atom_site_label
_atom_site_fract_x
_atom_site_fract_y
_atom_site_fract_z
_atom_site_occupancy
Ba1 0.0000 0.0000 0.0000 1
Co1 0.0000 0.5000 0.5000 1
Ru1 0.5000 0.5000 0.0000 1
```

Computed properties:
Volume   72.2 Å³ per cell
E_form   1029 meV per atom
Energy above the lowest structure with this stoichiometry   0.757 eV per atom
Crystal system   tetragonal
Total magnetic moment   4.44 μB/cell

=====

[2]
Material: BaCoRu
Method: DFT, PBE
State: optimized geometry

Cell and atoms, written as CIF:
```
data_BaCoRu
_chemical_formula_sum 'Ba4 Co4 Ru4'
_space_group_name_H-M_alt 'F -4 3 m'
_space_group_IT_number 216
_space_group_name_Hall 'F -4 2 3'
_cell_length_a 6.5473
_cell_length_b 6.5473
_cell_length_c 6.5473
_cell_angle_alpha 90.00
_cell_angle_beta 90.00
_cell_angle_gamma 90.00
loop_
_atom_site_label
_atom_site_fract_x
_atom_site_fract_y
_atom_site_fract_z
_atom_site_occupancy
Ba1 0.0000 0.0000 0.0000 1
Co1 0.2500 0.2500 0.2500 1
Ru1 0.0000 0.0000 0.5000 1
```

Computed properties:
Volume   280.7 Å³ per cell
E_form   1081 meV per atom
Energy above the lowest structure with this stoichiometry   0.634 eV per atom
Crystal system   cubic
Total magnetic moment   12.03 μB/cell

=====

[3]
Material: Ba2CoRu
Method: DFT, PBE
State: optimized geometry

Cell and atoms, written as CIF:
```
data_Ba2CoRu
_chemical_formula_sum 'Ba2 Co1 Ru1'
_space_group_name_H-M_alt 'P 4 m m'
_space_group_IT_number 99
_space_group_name_Hall 'P 4 -2'
_cell_length_a 3.5418
_cell_length_b 3.5418
_cell_length_c 9.3764
_cell_angle_alpha 90.00
_cell_angle_beta 90.00
_cell_angle_gamma 90.00
loop_
_atom_site_label
_atom_site_fract_x
_atom_site_fract_y
_atom_site_fract_z
_atom_site_occupancy
Ba1 0.0000 0.0000 0.0000 1
Ba2 0.5000 0.5000 0.4323 1
Co1 0.0000 0.0000 0.6892 1
Ru1 0.5000 0.5000 0.7397 1
```

Computed properties:
Volume   117.6 Å³ per cell
E_form   500 meV per atom
Energy above the lowest structure with this stoichiometry   0.299 eV per atom
Crystal system   tetragonal
Total magnetic moment   2.73 μB/cell